{
  "formula": "NaSr8Mg2",
  "functional": "GGA-PBE",
  "state": "relaxed",
  "cell": [[10.3065, -2.9912, 0.0000], [10.3065, 2.9912, 0.0000], [-3.1893, 0.0000, 8.4527]],
  "species": ["Na", "Sr", "Sr", "Sr", "Sr", "Sr", "Sr", "Sr", "Sr", "Mg", "Mg"],
  "frac_coords": [[0.0000, 0.0000, 0.0000], [0.1007, 0.1007, 0.4737], [0.1762, 0.1762, 0.9444], [0.3153, 0.3153, 0.7218], [0.4670, 0.4670, 0.2425], [0.5330, 0.5330, 0.7575], [0.6847, 0.6847, 0.2782], [0.8238, 0.8238, 0.0556], [0.8993, 0.8993, 0.5263], [0.3087, 0.3087, 0.3169], [0.6913, 0.6913, 0.6831]],
  "delta_e_f_ev_per_atom": 0.0205,
  "m_tot_mub_per_cell": 0.00,
  "e_tot_ev_per_cell": -17.738,
  "spacegroup": "No. 12",
  "vol_a3_per_atom": 47.38,
  "dos_at_fermi_per_ev_atom": 1.32
}

---

{
  "formula": "NaSrMg",
  "functional": "GGA-PBE",
  "state": "relaxed",
  "cell": [[5.5891, 0.0000, 0.0000], [-2.7946, 4.8403, 0.0000], [0.0000, 0.0000, 8.2735]],
  "species": ["Na", "Na", "Sr", "Sr", "Mg", "Mg"],
  "frac_coords": [[0.3333, 0.6667, 0.4990], [0.6667, 0.3333, 0.5010], [0.0000, 0.0000, 0.2289], [0.0000, 0.0000, 0.7711], [0.3333, 0.6667, 0.9996], [0.6667, 0.3333, 0.0004]],
  "delta_e_f_ev_per_atom": 0.0205,
  "m_tot_mub_per_cell": 0.00,
  "e_tot_ev_per_cell": -9.068,
  "spacegroup": "No. 164",
  "vol_a3_per_atom": 37.31,
  "dos_at_fermi_per_ev_atom": 0.72
}

---

{
  "formula": "Na12Sr5Mg3",
  "functional": "GGA-PBE",
  "state": "relaxed",
  "cell": [[-10.0637, 10.0637, 10.0637], [10.0637, -10.0637, 10.0637], [10.0637, 10.0637, -10.0637]],
  "species": ["Na", "Na", "Na", "Na", "Na", "Na", "Na", "Na", "Na", "Na", "Na", "Na", "Na", "Na", "Na", "Na", "Na", "Na", "Na", "Na", "Na", "Na", "Na", "Na", "Na", "Na", "Na", "Na", "Na", "Na", "Na", "Na", "Na", "Na", "Na", "Na", "Na", "Na", "Na", "Na", "Na", "Na", "Na", "Na", "Na", "Na", "Na", "Na", "Sr", "Sr", "Sr", "Sr", "Sr", "Sr", "Sr", "Sr", "Sr", "Sr", "Sr", "Sr", "Sr", "Sr", "Sr", "Sr", "Sr", "Sr", "Sr", "Sr", "Mg", "Mg", "Mg", "Mg", "Mg", "Mg", "Mg", "Mg", "Mg", "Mg", "Mg", "Mg"],
  "frac_coords": [[0.0560, 0.6481, 0.4016], [0.0560, 0.9079, 0.6544], [0.0921, 0.2464, 0.1481], [0.0921, 0.3456, 0.9440], [0.0984, 0.7464, 0.6544], [0.0984, 0.8519, 0.4440], [0.1481, 0.0921, 0.2464], [0.1481, 0.5560, 0.9016], [0.1544, 0.2464, 0.5984], [0.1544, 0.4079, 0.5560], [0.2464, 0.1481, 0.0921], [0.2464, 0.5984, 0.1544], [0.2536, 0.3456, 0.9016], [0.2536, 0.4079, 0.3519], [0.3456, 0.9016, 0.2536], [0.3456, 0.9440, 0.0921], [0.3519, 0.2536, 0.4079], [0.3519, 0.5984, 0.9440], [0.4016, 0.0560, 0.6481], [0.4016, 0.8456, 0.7536], [0.4079, 0.3519, 0.2536], [0.4079, 0.5560, 0.1544], [0.4440, 0.0984, 0.8519], [0.4440, 0.8456, 0.5921], [0.5560, 0.1544, 0.4079], [0.5560, 0.9016, 0.1481], [0.5921, 0.4440, 0.8456], [0.5921, 0.6481, 0.7464], [0.5984, 0.1544, 0.2464], [0.5984, 0.9440, 0.3519], [0.6481, 0.4016, 0.0560], [0.6481, 0.7464, 0.5921], [0.6544, 0.0560, 0.9079], [0.6544, 0.0984, 0.7464], [0.7464, 0.5921, 0.6481], [0.7464, 0.6544, 0.0984], [0.7536, 0.4016, 0.8456], [0.7536, 0.8519, 0.9079], [0.8456, 0.5921, 0.4440], [0.8456, 0.7536, 0.4016], [0.8519, 0.4440, 0.0984], [0.8519, 0.9079, 0.7536], [0.9016, 0.1481, 0.5560], [0.9016, 0.2536, 0.3456], [0.9079, 0.6544, 0.0560], [0.9079, 0.7536, 0.8519], [0.9440, 0.0921, 0.3456], [0.9440, 0.3519, 0.5984], [0.0000, 0.0000, 0.0000], [0.0000, 0.0000, 0.5000], [0.0000, 0.5000, 0.0000], [0.0000, 0.5000, 0.5000], [0.1250, 0.7500, 0.8750], [0.1250, 0.8750, 0.2500], [0.2500, 0.1250, 0.8750], [0.2500, 0.6250, 0.3750], [0.3750, 0.2500, 0.6250], [0.3750, 0.6250, 0.7500], [0.5000, 0.0000, 0.0000], [0.5000, 0.0000, 0.5000], [0.5000, 0.5000, 0.0000], [0.5000, 0.5000, 0.5000], [0.6250, 0.3750, 0.2500], [0.6250, 0.7500, 0.3750], [0.7500, 0.3750, 0.6250], [0.7500, 0.8750, 0.1250], [0.8750, 0.1250, 0.7500], [0.8750, 0.2500, 0.1250], [0.1250, 0.2500, 0.3750], [0.1250, 0.3750, 0.7500], [0.2500, 0.3750, 0.1250], [0.2500, 0.8750, 0.6250], [0.3750, 0.1250, 0.2500], [0.3750, 0.7500, 0.1250], [0.6250, 0.2500, 0.8750], [0.6250, 0.8750, 0.7500], [0.7500, 0.1250, 0.3750], [0.7500, 0.6250, 0.8750], [0.8750, 0.6250, 0.2500], [0.8750, 0.7500, 0.6250]],
  "delta_e_f_ev_per_atom": 0.3990,
  "m_tot_mub_per_cell": 0.00,
  "e_tot_ev_per_cell": -84.169,
  "spacegroup": "No. 230",
  "vol_a3_per_atom": 50.96,
  "dos_at_fermi_per_ev_atom": 0.99
}

---

{
  "formula": "Na2Sr4Mg",
  "functional": "GGA-PBE",
  "state": "relaxed",
  "cell": [[3.0685, 1.7716, 9.9825], [-3.0685, 1.7716, 9.9825], [0.0000, -3.5432, 9.9825]],
  "species": ["Na", "Na", "Sr", "Sr", "Sr", "Sr", "Mg"],
  "frac_coords": [[0.2458, 0.2458, 0.2458], [0.7542, 0.7542, 0.7542], [0.1237, 0.1237, 0.1237], [0.3741, 0.3741, 0.3741], [0.6259, 0.6259, 0.6259], [0.8763, 0.8763, 0.8763], [0.5000, 0.5000, 0.5000]],
  "delta_e_f_ev_per_atom": 0.0963,
  "m_tot_mub_per_cell": 0.00,
  "e_tot_ev_per_cell": -10.286,
  "spacegroup": "No. 166",
  "vol_a3_per_atom": 46.51,
  "dos_at_fermi_per_ev_atom": 1.32
}

---

{
  "formula": "Na3Sr4Mg",
  "functional": "GGA-PBE",
  "state": "relaxed",
  "cell": [[4.3964, 0.0000, 0.0000], [0.0000, 4.3964, 0.0000], [0.0000, 0.0000, 17.8735]],
  "species": ["Na", "Na", "Na", "Sr", "Sr", "Sr", "Sr", "Mg"],
  "frac_coords": [[0.0000, 0.0000, 0.0000], [0.0000, 0.0000, 0.2596], [0.0000, 0.0000, 0.7404], [0.5000, 0.5000, 0.1289], [0.5000, 0.5000, 0.3891], [0.5000, 0.5000, 0.6109], [0.5000, 0.5000, 0.8711], [0.0000, 0.0000, 0.5000]],
  "delta_e_f_ev_per_atom": 0.0039,
  "m_tot_mub_per_cell": 0.00,
  "e_tot_ev_per_cell": -12.248,
  "spacegroup": "No. 123",
  "vol_a3_per_atom": 43.18,
  "dos_at_fermi_per_ev_atom": 0.82
}

---

{
  "formula": "Na3Sr12Mg",
  "functional": "GGA-PBE",
  "state": "relaxed",
  "cell": [[5.8495, 0.0000, 0.0000], [0.0000, 5.8495, 0.0000], [0.0000, 0.0000, 23.0687]],
  "species": ["Na", "Na", "Na", "Sr", "Sr", "Sr", "Sr", "Sr", "Sr", "Sr", "Sr", "Sr", "Sr", "Sr", "Sr", "Mg"],
  "frac_coords": [[0.0000, 0.0000, 0.0000], [0.0000, 0.0000, 0.2558], [0.0000, 0.0000, 0.7442], [0.0000, 0.5000, 0.1284], [0.0000, 0.5000, 0.3859], [0.0000, 0.5000, 0.6141], [0.0000, 0.5000, 0.8716], [0.5000, 0.0000, 0.1284], [0.5000, 0.0000, 0.3859], [0.5000, 0.0000, 0.6141], [0.5000, 0.0000, 0.8716], [0.5000, 0.5000, 0.0000], [0.5000, 0.5000, 0.2577], [0.5000, 0.5000, 0.5000], [0.5000, 0.5000, 0.7423], [0.0000, 0.0000, 0.5000]],
  "delta_e_f_ev_per_atom": 0.0382,
  "m_tot_mub_per_cell": 0.00,
  "e_tot_ev_per_cell": -25.123,
  "spacegroup": "No. 123",
  "vol_a3_per_atom": 49.33,
  "dos_at_fermi_per_ev_atom": 0.97
}

---

{
  "formula": "NaSr5Mg",
  "functional": "GGA-PBE",
  "state": "relaxed",
  "cell": [[5.5150, -5.2242, 0.0000], [5.5150, 5.2242, 0.0000], [-0.7224, 0.0000, 12.0712]],
  "species": ["Na", "Na", "Sr", "Sr", "Sr", "Sr", "Sr", "Sr", "Sr", "Sr", "Sr", "Sr", "Mg", "Mg"],
  "frac_coords": [[0.0000, 0.0000, 0.0000], [0.0000, 0.0000, 0.5000], [0.0397, 0.6067, 0.1772], [0.1574, 0.8426, 0.7500], [0.2528, 0.4391, 0.4945], [0.3933, 0.9603, 0.3228], [0.4391, 0.2528, 0.9945], [0.5609, 0.7472, 0.0055], [0.6067, 0.0397, 0.6772], [0.7472, 0.5609, 0.5055], [0.8426, 0.1574, 0.2500], [0.9603, 0.3933, 0.8228], [0.4930, 0.5070, 0.7500], [0.5070, 0.4930, 0.2500]],
  "delta_e_f_ev_per_atom": 0.1106,
  "m_tot_mub_per_cell": 0.00,
  "e_tot_ev_per_cell": -21.098,
  "spacegroup": "No. 15",
  "vol_a3_per_atom": 49.68,
  "dos_at_fermi_per_ev_atom": 1.26
}

---

{
  "formula": "NaSr4Mg",
  "functional": "GGA-PBE",
  "state": "relaxed",
  "cell": [[4.2437, 0.0000, 0.0000], [0.0000, 4.2437, 0.0000], [0.0000, 0.0000, 15.2132]],
  "species": ["Na", "Sr", "Sr", "Sr", "Sr", "Mg"],
  "frac_coords": [[0.0000, 0.0000, 0.0000], [0.0000, 0.0000, 0.3657], [0.0000, 0.0000, 0.6343], [0.5000, 0.5000, 0.1665], [0.5000, 0.5000, 0.8335], [0.5000, 0.5000, 0.5000]],
  "delta_e_f_ev_per_atom": -0.0080,
  "m_tot_mub_per_cell": 0.00,
  "e_tot_ev_per_cell": -9.689,
  "spacegroup": "No. 123",
  "vol_a3_per_atom": 45.66,
  "dos_at_fermi_per_ev_atom": 0.94
}

---

{
  "formula": "NaSrMg14",
  "functional": "GGA-PBE",
  "state": "relaxed",
  "cell": [[6.6344, 0.0000, 0.0000], [-3.3172, 5.7456, 0.0000], [0.0000, 0.0000, 10.6529]],
  "species": ["Na", "Sr", "Mg", "Mg", "Mg", "Mg", "Mg", "Mg", "Mg", "Mg", "Mg", "Mg", "Mg", "Mg", "Mg", "Mg"],
  "frac_coords": [[0.0000, 0.0000, 0.0000], [0.0000, 0.0000, 0.5000], [0.0118, 0.5059, 0.5000], [0.1719, 0.3438, 0.2430], [0.1719, 0.3438, 0.7570], [0.1719, 0.8281, 0.2430], [0.1719, 0.8281, 0.7570], [0.4941, 0.5059, 0.5000], [0.4941, 0.9882, 0.5000], [0.5007, 0.0013, 0.0000], [0.5007, 0.4993, 0.0000], [0.6562, 0.8281, 0.2430], [0.6562, 0.8281, 0.7570], [0.6667, 0.3333, 0.2560], [0.6667, 0.3333, 0.7440], [0.9987, 0.4993, 0.0000]],
  "delta_e_f_ev_per_atom": 0.0507,
  "m_tot_mub_per_cell": 0.00,
  "e_tot_ev_per_cell": -24.513,
  "spacegroup": "No. 187",
  "vol_a3_per_atom": 25.38,
  "dos_at_fermi_per_ev_atom": 0.39
}

---

{
  "formula": "NaSr6Mg2",
  "functional": "GGA-PBE",
  "state": "relaxed",
  "cell": [[-5.6367, 5.8738, 6.3024], [5.6367, -5.8738, 6.3024], [5.6367, 5.8738, -6.3024]],
  "species": ["Na", "Na", "Sr", "Sr", "Sr", "Sr", "Sr", "Sr", "Sr", "Sr", "Sr", "Sr", "Sr", "Sr", "Mg", "Mg", "Mg", "Mg"],
  "frac_coords": [[0.0000, 0.0000, 0.0000], [0.5000, 0.5000, 0.0000], [0.1110, 0.8189, 0.2920], [0.2231, 0.3113, 0.5344], [0.2231, 0.6887, 0.9118], [0.2546, 0.0483, 0.7936], [0.2546, 0.4610, 0.2064], [0.4731, 0.1811, 0.2920], [0.5269, 0.8189, 0.7080], [0.7454, 0.5390, 0.7936], [0.7454, 0.9517, 0.2064], [0.7769, 0.3113, 0.0882], [0.7769, 0.6887, 0.4656], [0.8890, 0.1811, 0.7080], [0.1185, 0.6185, 0.5000], [0.5000, 0.1391, 0.6391], [0.5000, 0.8609, 0.3609], [0.8815, 0.3815, 0.5000]],
  "delta_e_f_ev_per_atom": -0.0048,
  "m_tot_mub_per_cell": 0.00,
  "e_tot_ev_per_cell": -29.285,
  "spacegroup": "No. 71",
  "vol_a3_per_atom": 46.37,
  "dos_at_fermi_per_ev_atom": 0.98
}